Record 1
## Sr2YCu2Bi2O8 (PBE-GGA)

Data for a relaxed Sr2YCu2Bi2O8 crystal.

a b c (Å): 15.5496 15.5496 5.3505
angles (deg): 90.00 90.00 159.57
Positions (direct):
Sr (0.6165, 0.8913, 0.0000)
Sr (0.3835, 0.1087, 0.0000)
Sr (0.1087, 0.3835, 0.5000)
Sr (0.8913, 0.6165, 0.5000)
Y (0.5000, 0.0000, 0.0000)
Y (0.0000, 0.5000, 0.5000)
Cu (0.0507, 0.4496, 0.0000)
Cu (0.9493, 0.5504, 0.0000)
Cu (0.5504, 0.9493, 0.5000)
Cu (0.4496, 0.0507, 0.5000)
Bi (0.2194, 0.3140, 0.0000)
Bi (0.7806, 0.6860, 0.0000)
Bi (0.6860, 0.7806, 0.5000)
Bi (0.3140, 0.2194, 0.5000)
O (0.1075, 0.3396, 0.0000)
O (0.8925, 0.6604, 0.0000)
O (0.6604, 0.8925, 0.5000)
O (0.3396, 0.1075, 0.5000)
O (0.7008, 0.2992, 0.2500)
O (0.2992, 0.7008, 0.7500)
O (0.2992, 0.7008, 0.2500)
O (0.7008, 0.2992, 0.7500)
O (0.6081, 0.7097, 0.0000)
O (0.3919, 0.2903, 0.0000)
O (0.2903, 0.3919, 0.5000)
O (0.7097, 0.6081, 0.5000)
O (0.7975, 0.2025, 0.2500)
O (0.2025, 0.7975, 0.7500)
O (0.2025, 0.7975, 0.2500)
O (0.7975, 0.2025, 0.7500)

Computed properties:
Spin magnetization, μB per formula unit: 0.00
DOS(E_F), states/eV per atom: 0.2048
Total DFT energy (no corrections), eV/atom: -6.18
ΔE_f (raw), eV/f.u.: -27.19
Mass density, Mg/m³: 6.892
Offset from the most stable computed form, meV/atom: 0

Record 2
## Na4Er3InS8 (PBE-GGA)

Data for a relaxed Na4Er3InS8 crystal.

a b c (Å): 7.8469 8.0934 7.8476
angles (deg): 119.03 120.00 90.00
Positions (direct):
Na (0.5000, 0.0000, 0.0000)
Na (0.5000, 0.0000, 0.5000)
Na (0.0000, 0.0000, 0.0000)
Na (0.0000, 0.0000, 0.5000)
Er (0.5000, 0.5000, 0.0000)
Er (0.5000, 0.5000, 0.5000)
Er (0.0000, 0.5000, 0.5000)
In (0.0000, 0.5000, 0.0000)
S (0.2396, 0.7248, 0.9854)
S (0.2398, 0.7249, 0.4796)
S (0.2585, 0.2757, 0.5171)
S (0.7457, 0.7248, 0.9854)
S (0.2543, 0.2752, 0.0146)
S (0.7415, 0.7243, 0.4829)
S (0.7602, 0.2751, 0.5204)
S (0.7604, 0.2752, 0.0146)

Computed properties:
Spin magnetization, μB per formula unit: 0.00
Total DFT energy (no corrections), eV/atom: -5.01
ΔE_f (raw), eV/f.u.: -25.47
Mass density, Mg/m³: 4.483

Record 3
## InPd2Pt4 (PBE-GGA)

Data for a relaxed InPd2Pt4 crystal.

a b c (Å): 3.7556 3.7556 9.4133
angles (deg): 101.51 101.51 90.00
Positions (direct):
In (0.0000, 0.0000, 0.0000)
Pd (0.6056, 0.6056, 0.2112)
Pd (0.3944, 0.3944, 0.7888)
Pt (0.1410, 0.1410, 0.2821)
Pt (0.8590, 0.8590, 0.7179)
Pt (0.7500, 0.2500, 0.5000)
Pt (0.2500, 0.7500, 0.5000)

Computed properties:
Spin magnetization, μB per formula unit: 0.00
DOS(E_F), states/eV per atom: 1.0708
Total DFT energy (no corrections), eV/atom: -5.30
Formation enthalpy at 0 K, eV per atom: 0.028
Mass density, Mg/m³: 14.444
Offset from the most stable computed form, meV/atom: 99

Record 4
## La2Dy3Ho6 (PBE-GGA)

Data for a relaxed La2Dy3Ho6 crystal.

a b c (Å): 4.7453 4.7453 17.0598
angles (deg): 97.99 97.99 90.00
Positions (direct):
La (0.4538, 0.4538, 0.9077)
La (0.5462, 0.5462, 0.0923)
Dy (0.0000, 0.0000, 0.0000)
Dy (0.7978, 0.7978, 0.5956)
Dy (0.2022, 0.2022, 0.4044)
Ho (0.1236, 0.6237, 0.2473)
Ho (0.6236, 0.1237, 0.2473)
Ho (0.8764, 0.3763, 0.7527)
Ho (0.3764, 0.8763, 0.7527)
Ho (0.6957, 0.6957, 0.3915)
Ho (0.3043, 0.3043, 0.6085)

Computed properties:
Spin magnetization, μB per formula unit: 0.00
DOS(E_F), states/eV per atom: 1.6169
Total DFT energy (no corrections), eV/atom: -4.38
Formation enthalpy at 0 K, eV per atom: 0.268
Mass density, Mg/m³: 7.737
Offset from the most stable computed form, meV/atom: 87

Record 5
## NdY3Ho3Se8 (PBE-GGA)

Data for a relaxed NdY3Ho3Se8 crystal.

a b c (Å): 8.1325 8.1323 8.1325
angles (deg): 120.00 90.00 120.00
Positions (direct):
Nd (0.0000, 0.0000, 0.5000)
Y (0.0000, 0.0000, 0.0000)
Y (0.0000, 0.5000, 0.0000)
Y (0.5000, 0.5000, 0.0000)
Ho (0.5000, 0.0000, 0.5000)
Ho (0.5000, 0.5000, 0.5000)
Ho (0.0000, 0.5000, 0.5000)
Se (0.2509, 0.5018, 0.2527)
Se (0.7491, 0.4982, 0.7473)
Se (0.7399, 0.4799, 0.2418)
Se (0.2601, 0.5201, 0.7582)
Se (0.7399, 0.0019, 0.2418)
Se (0.2601, 0.9981, 0.7582)
Se (0.2620, 0.0019, 0.2418)
Se (0.7380, 0.9981, 0.7582)

Computed properties:
Spin magnetization, μB per formula unit: 0.00
DOS(E_F), states/eV per atom: 0.4058
Total DFT energy (no corrections), eV/atom: -6.21
ΔE_f (raw), eV/f.u.: -27.38
Mass density, Mg/m³: 6.713

Record 6
## Cs2LaAs2O7 (PBE-GGA)

Data for a relaxed Cs2LaAs2O7 crystal.

a b c (Å): 6.2750 6.2750 8.5042
angles (deg): 68.35 68.35 60.00
Positions (direct):
Cs (0.7314, 0.7314, 0.8058)
Cs (0.2686, 0.2686, 0.1942)
La (0.5000, 0.5000, 0.5000)
As (0.9176, 0.9176, 0.2472)
As (0.0824, 0.0824, 0.7528)
O (0.1973, 0.7406, 0.3215)
O (0.7406, 0.1973, 0.3215)
O (0.7406, 0.7406, 0.3215)
O (0.2594, 0.2594, 0.6785)
O (0.8027, 0.2594, 0.6785)
O (0.0000, 0.0000, 0.0000)
O (0.2594, 0.8027, 0.6785)

Computed properties:
Spin magnetization, μB per formula unit: 0.00
DOS(E_F), states/eV per atom: 0.3711
Total DFT energy (no corrections), eV/atom: -6.10
ΔE_f (raw), eV/f.u.: -22.56
Mass density, Mg/m³: 4.219

Record 7
## Ga2NiCl (PBE-GGA)

Data for a relaxed Ga2NiCl crystal.

a b c (Å): 4.7255 4.7255 4.7255
angles (deg): 60.00 60.00 60.00
Last column: magnetic moment on the atom in μB.
Positions (direct):
Ni (0.5000, 0.5000, 0.5000)  0.51
Ga (0.2500, 0.2500, 0.2500)  0.01
Ga (0.7500, 0.7500, 0.7500)  0.01
Cl (0.0000, 0.0000, 0.0000)  0.01

Computed properties:
Spin magnetization, μB per formula unit: 0.51
DOS(E_F), states/eV per atom: 0.7470
Total DFT energy (no corrections), eV/atom: -3.17
ΔE_f (raw), eV/f.u.: 1.02
Mass density, Mg/m³: 5.198
Offset from the most stable computed form, meV/atom: 335

Record 8
## ErZn5Ni7 (PBE-GGA)

Data for a relaxed ErZn5Ni7 crystal.

a b c (Å): 4.9208 6.3985 6.3985
angles (deg): 81.91 67.39 67.39
Positions (direct):
Er (0.9919, 0.0081, 0.0081)
Zn (0.4994, 0.0032, 0.4949)
Zn (0.0025, 0.0032, 0.4949)
Zn (0.4994, 0.4949, 0.0032)
Zn (0.0025, 0.4949, 0.0032)
Zn (0.7182, 0.7818, 0.7818)
Ni (0.6441, 0.3559, 0.3559)
Ni (0.3558, 0.6442, 0.6442)
Ni (0.0023, 0.3533, 0.6422)
Ni (0.0023, 0.6422, 0.3533)
Ni (0.2790, 0.2210, 0.2210)
Ni (0.5014, 0.7738, 0.2234)
Ni (0.5014, 0.2234, 0.7738)

Computed properties:
Spin magnetization, μB per formula unit: 0.00
DOS(E_F), states/eV per atom: 0.6376
Total DFT energy (no corrections), eV/atom: -4.17
Formation enthalpy at 0 K, eV per atom: -0.211
Mass density, Mg/m³: 8.756

Record 9
## Ca2Al5Ag12 (PBE-GGA)

Data for a relaxed Ca2Al5Ag12 crystal.

a b c (Å): 7.2272 7.2272 7.2272
angles (deg): 81.60 81.60 81.60
Positions (direct):
Ca (0.6572, 0.6572, 0.6572)
Ca (0.3428, 0.3428, 0.3428)
Al (0.0000, 0.0000, 0.5000)
Al (0.0000, 0.5000, 0.0000)
Al (0.5000, 0.0000, 0.0000)
Al (0.9080, 0.9080, 0.9080)
Al (0.0920, 0.0920, 0.0920)
Ag (0.3007, 0.6993, 0.0000)
Ag (0.6993, 0.0000, 0.3007)
Ag (0.0000, 0.3007, 0.6993)
Ag (0.6993, 0.3007, 0.0000)
Ag (0.3007, 0.0000, 0.6993)
Ag (0.0000, 0.6993, 0.3007)
Ag (0.3402, 0.3402, 0.8658)
Ag (0.3402, 0.8658, 0.3402)
Ag (0.8658, 0.3402, 0.3402)
Ag (0.6598, 0.1342, 0.6598)
Ag (0.6598, 0.6598, 0.1342)
Ag (0.1342, 0.6598, 0.6598)

Computed properties:
Spin magnetization, μB per formula unit: 0.00
DOS(E_F), states/eV per atom: 0.3420
Total DFT energy (no corrections), eV/atom: -3.16
Formation enthalpy at 0 K, eV per atom: -0.168
Mass density, Mg/m³: 6.841

Record 10
## Ho2ThRu3 (PBE-GGA)

Data for a relaxed Ho2ThRu3 crystal.

a b c (Å): 3.4007 5.5802 7.5986
angles (deg): 111.54 102.93 90.00
Positions (direct):
Ho (0.6657, 0.1657, 0.3314)
Ho (0.3343, 0.8343, 0.6686)
Th (0.0000, 0.5000, 0.0000)
Ru (0.3383, 0.3383, 0.6765)
Ru (0.0000, 0.0000, 0.0000)
Ru (0.6617, 0.6617, 0.3235)

Computed properties:
Spin magnetization, μB per formula unit: 0.00
DOS(E_F), states/eV per atom: 1.0717
Total DFT energy (no corrections), eV/atom: -7.44
Formation enthalpy at 0 K, eV per atom: -0.035
Mass density, Mg/m³: 11.035
Offset from the most stable computed form, meV/atom: 407

Record 11
## BaBeNi2H8 (PBE-GGA)

Data for a relaxed BaBeNi2H8 crystal.

a b c (Å): 4.3071 4.3071 6.4467
angles (deg): 90.00 90.00 120.00
Positions (direct):
Ba (0.0000, 0.0000, 0.0000)
Be (0.0000, 0.0000, 0.5000)
Ni (0.6667, 0.3333, 0.4221)
Ni (0.3333, 0.6667, 0.5779)
H (0.3333, 0.6667, 0.8331)
H (0.2994, 0.3392, 0.3689)
H (0.6608, 0.9603, 0.3689)
H (0.6667, 0.3333, 0.1669)
H (0.3392, 0.0397, 0.6311)
H (0.7006, 0.6608, 0.6311)
H (0.9603, 0.2994, 0.6311)
H (0.0397, 0.7006, 0.3689)

Computed properties:
Spin magnetization, μB per formula unit: 0.00
DOS(E_F), states/eV per atom: 0.1528
Total DFT energy (no corrections), eV/atom: -3.75
Mass density, Mg/m³: 4.358

Record 12
## PmYSn (PBE-GGA)

Data for a relaxed PmYSn crystal.

a b c (Å): 5.8245 3.4935 9.2401
angles (deg): 79.10 90.00 90.00
Positions (direct):
Y (0.7500, 0.6703, 0.6593)
Y (0.2500, 0.3297, 0.3407)
Pm (0.5000, 0.0000, 0.0000)
Pm (0.0000, 0.0000, 0.0000)
Sn (0.7500, 0.8410, 0.3180)
Sn (0.2500, 0.1590, 0.6820)

Computed properties:
Spin magnetization, μB per formula unit: 0.00
DOS(E_F), states/eV per atom: 1.0122
Total DFT energy (no corrections), eV/atom: -5.34
Formation enthalpy at 0 K, eV per atom: -0.266
Mass density, Mg/m³: 6.343
Offset from the most stable computed form, meV/atom: 337

Record 13
## Sr2ZrF8 (PBE-GGA)

Data for a relaxed Sr2ZrF8 crystal.

a b c (Å): 3.8912 5.2194 8.2127
angles (deg): 105.48 103.70 90.00
Last column: magnetic moment on the atom in μB.
Positions (direct):
Sr (0.8305, 0.3298, 0.6609)  0.00
Sr (0.1695, 0.6702, 0.3391)  0.00
Zr (0.5000, 0.0000, 0.0000)  0.00
F (0.4117, 0.6246, 0.8235)  0.00
F (0.6197, 0.9141, 0.2394)  0.01
F (0.7687, 0.7327, 0.5375)  0.06
F (0.9842, 0.2038, 0.9684)  0.00
F (0.2313, 0.2673, 0.4625)  0.06
F (0.3803, 0.0859, 0.7606)  0.01
F (0.5883, 0.3754, 0.1765)  0.00
F (0.0158, 0.7962, 0.0316)  0.00

Computed properties:
Spin magnetization, μB per formula unit: 0.16
DOS(E_F), states/eV per atom: 0.0000
Total DFT energy (no corrections), eV/atom: -6.23
ΔE_f (raw), eV/f.u.: -41.70
Mass density, Mg/m³: 4.460

Record 14
## Os2IO7 (PBE-GGA)

Data for a relaxed Os2IO7 crystal.

a b c (Å): 3.4600 8.2432 8.2432
angles (deg): 121.35 90.00 90.00
Last column: magnetic moment on the atom in μB.
Positions (direct):
Os (0.5000, 0.6310, 0.3690)  -0.05
Os (0.5000, 0.3690, 0.6310)  -0.05
I (0.0000, 0.0000, 0.0000)  0.10
O (0.0000, 0.6871, 0.3129)  0.00
O (0.0000, 0.3129, 0.6871)  0.00
O (0.5000, 0.1389, 0.4259)  0.00
O (0.5000, 0.8611, 0.5741)  0.00
O (0.5000, 0.4259, 0.1389)  0.00
O (0.5000, 0.5741, 0.8611)  0.00
O (0.5000, 0.5000, 0.5000)  -0.03

Computed properties:
Spin magnetization, μB per formula unit: 0.04
DOS(E_F), states/eV per atom: 0.5897
Total DFT energy (no corrections), eV/atom: -6.23
ΔE_f (raw), eV/f.u.: -3.61
Mass density, Mg/m³: 5.122

Record 15
## Nd3ThSb3 (PBE-GGA)

Data for a relaxed Nd3ThSb3 crystal.

a b c (Å): 9.5081 9.5081 9.5081
angles (deg): 90.00 90.00 90.00
Positions (direct):
Nd (0.8204, 0.3204, 0.1796)
Nd (0.9301, 0.9301, 0.9301)
Nd (0.8198, 0.6802, 0.3198)
Nd (0.1796, 0.8204, 0.3204)
Nd (0.1802, 0.1802, 0.1802)
Nd (0.3198, 0.8198, 0.6802)
Nd (0.0699, 0.4301, 0.5699)
Nd (0.3204, 0.1796, 0.8204)
Nd (0.6802, 0.3198, 0.8198)
Nd (0.6796, 0.6796, 0.6796)
Nd (0.5699, 0.0699, 0.4301)
Nd (0.4301, 0.5699, 0.0699)
Th (0.0719, 0.5719, 0.9281)
Th (0.9281, 0.0719, 0.5719)
Th (0.4281, 0.4281, 0.4281)
Th (0.5719, 0.9281, 0.0719)
Sb (0.7507, 0.6257, 0.9996)
Sb (0.8743, 0.0004, 0.2507)
Sb (0.9996, 0.7507, 0.6257)
Sb (0.1257, 0.5004, 0.2493)
Sb (0.2493, 0.1257, 0.5004)
Sb (0.2507, 0.8743, 0.0004)
Sb (0.0004, 0.2507, 0.8743)
Sb (0.3743, 0.4996, 0.7493)
Sb (0.5004, 0.2493, 0.1257)
Sb (0.6257, 0.9996, 0.7507)
Sb (0.7493, 0.3743, 0.4996)
Sb (0.4996, 0.7493, 0.3743)

Computed properties:
Spin magnetization, μB per formula unit: 0.00
DOS(E_F), states/eV per atom: 1.0893
Total DFT energy (no corrections), eV/atom: -5.85
ΔE_f (raw), eV/f.u.: -6.88
Mass density, Mg/m³: 7.959

Record 16
## La2MgIr (PBE-GGA)

Data for a relaxed La2MgIr crystal.

a b c (Å): 3.8122 3.9199 7.9935
angles (deg): 67.86 90.00 90.00
Positions (direct):
Ir (0.5000, 0.7500, 0.7500)
La (0.0000, 0.9592, 0.9609)
La (0.0000, 0.5408, 0.5391)
Mg (0.5000, 0.2500, 0.2500)

Computed properties:
Spin magnetization, μB per formula unit: 0.00
DOS(E_F), states/eV per atom: 0.8590
Total DFT energy (no corrections), eV/atom: -5.47
Formation enthalpy at 0 K, eV per atom: -0.389
Mass density, Mg/m³: 7.419

Record 17
## SmDy2PaN4 (PBE-GGA)

Data for a relaxed SmDy2PaN4 crystal.

a b c (Å): 3.5194 6.0710 6.0422
angles (deg): 109.23 90.00 90.00
Positions (direct):
Sm (0.5000, 0.5000, 0.0000)
Dy (0.5000, 0.0000, 0.5000)
Dy (0.0000, 0.5000, 0.5000)
Pa (0.0000, 0.0000, 0.0000)
N (0.5000, 0.2367, 0.2440)
N (0.5000, 0.7633, 0.7560)
N (0.0000, 0.2322, 0.7546)
N (0.0000, 0.7678, 0.2454)

Computed properties:
Spin magnetization, μB per formula unit: 0.00
DOS(E_F), states/eV per atom: 0.4526
Total DFT energy (no corrections), eV/atom: -8.74
ΔE_f (raw), eV/f.u.: -13.22
Mass density, Mg/m³: 10.386

Record 18
## MgScCd11 (PBE-GGA)

Data for a relaxed MgScCd11 crystal.

a b c (Å): 5.9675 7.6004 7.5961
angles (deg): 81.00 66.87 66.52
Positions (direct):
Mg (0.5000, 0.5000, 0.0000)
Sc (0.0000, 0.0000, 0.0000)
Cd (0.2954, 0.2131, 0.2109)
Cd (0.7046, 0.7869, 0.7891)
Cd (0.4937, 0.7869, 0.2109)
Cd (0.5063, 0.2131, 0.7891)
Cd (0.3500, 0.6520, 0.6553)
Cd (0.6500, 0.3480, 0.3447)
Cd (0.9946, 0.3480, 0.6553)
Cd (0.0054, 0.6520, 0.3447)
Cd (0.0000, 0.5000, 0.0000)
Cd (0.5000, 0.0000, 0.5000)
Cd (0.0000, 0.0000, 0.5000)

Computed properties:
Spin magnetization, μB per formula unit: 0.00
DOS(E_F), states/eV per atom: 0.2363
Total DFT energy (no corrections), eV/atom: -1.41
Formation enthalpy at 0 K, eV per atom: -0.028
Mass density, Mg/m³: 7.461

Record 19
## CsPa2TaS8 (PBE-GGA)

Data for a relaxed CsPa2TaS8 crystal.

a b c (Å): 6.3853 5.9748 8.5331
angles (deg): 89.87 89.92 88.23
Positions (direct):
Cs (0.0000, 0.0000, 0.5000)
Pa (0.5001, 0.5000, 0.7515)
Pa (0.4999, 0.5000, 0.2485)
Ta (0.0000, 0.0000, 0.0000)
S (0.1672, 0.7550, 0.1902)
S (0.6744, 0.7381, 0.9997)
S (0.8314, 0.2437, 0.1898)
S (0.8328, 0.2450, 0.8098)
S (0.3256, 0.2619, 0.0003)
S (0.1686, 0.7563, 0.8102)
S (0.5785, 0.7380, 0.4995)
S (0.4215, 0.2620, 0.5005)

Computed properties:
Spin magnetization, μB per formula unit: 0.00
Total DFT energy (no corrections), eV/atom: -6.53
ΔE_f (raw), eV/f.u.: -13.67
Mass density, Mg/m³: 5.269

Record 20
## Pm3Dy6Tm (PBE-GGA)

Data for a relaxed Pm3Dy6Tm crystal.

a b c (Å): 6.5267 9.5911 6.5387
angles (deg): 110.20 119.91 90.04
Positions (direct):
Pm (0.8573, 0.3119, 0.8701)
Pm (0.1427, 0.6881, 0.1299)
Pm (0.0000, 0.0000, 0.0000)
Dy (0.4407, 0.3146, 0.3027)
Dy (0.9882, 0.6854, 0.5482)
Dy (0.5593, 0.6854, 0.6973)
Dy (0.0118, 0.3146, 0.4518)
Dy (0.3478, 0.0510, 0.7016)
Dy (0.6522, 0.9490, 0.2984)
Tm (0.5000, 0.5000, 0.0000)

Computed properties:
Spin magnetization, μB per formula unit: 0.00
DOS(E_F), states/eV per atom: 1.2204
Total DFT energy (no corrections), eV/atom: -4.48
Formation enthalpy at 0 K, eV per atom: 0.153
Mass density, Mg/m³: 8.059
Offset from the most stable computed form, meV/atom: 4